No. 1
First-principles (SCAN) data for a crystal of GaHPb2 relaxed with PBEsol, as listed in the Alexandria database.

abc: 6.905 6.905 6.905
angles: 90.00 90.00 90.00
Space group Fm-3m (No. 225)
Symmetry-distinct sites (fractional):
Ga 0.000 0.000 0.000
H 0.000 0.000 0.500
Pb 0.250 0.250 0.250

E_tot, eV/cell: -678.7


No. 2
First-principles (SCAN) data for a crystal of AlCr2Cd relaxed with PBEsol, as listed in the Alexandria database.

abc: 2.925 4.527 8.757
angles: 90.00 90.00 90.00
Space group Cmm2 (No. 35)
Symmetry-distinct sites (fractional):
Al 0.000 0.000 0.000
Cr 0.000 0.000 0.573
Cr 0.000 0.500 0.765
Cd 0.000 0.500 0.297

E_tot, eV/cell: -147.7


No. 3
First-principles (SCAN) data for a crystal of CsRuS2 relaxed with PBEsol, as listed in the Alexandria database.

abc: 6.773 6.773 6.773
angles: 90.00 90.00 90.00
Space group Fm-3m (No. 225)
Symmetry-distinct sites (fractional):
Cs 0.000 0.000 0.000
Ru 0.000 0.000 0.500
S 0.250 0.250 0.250

ΔE_f (raw), eV/atom: 0.76
E_tot, eV/cell: -355.5


No. 4
First-principles (SCAN) data for a crystal of NdNi2As2 relaxed with PBEsol, as listed in the Alexandria database.

abc: 4.162 4.162 9.303
angles: 90.00 90.00 90.00
Space group P4/nmm (No. 129, origin choice 2)
Symmetry-distinct sites (fractional):
Nd 0.250 0.250 0.248
Ni 0.250 0.250 0.619
Ni 0.250 0.750 0.000
As 0.250 0.250 0.872
As 0.250 0.750 0.500

E_tot, eV/cell: -241.8


No. 5
First-principles (SCAN) data for a crystal of BaMg2Pd relaxed with PBEsol, as listed in the Alexandria database.

abc: 5.601 5.601 16.999
angles: 90.00 90.00 90.00
Space group I4_1/amd (No. 141, origin choice 2)
Symmetry-distinct sites (fractional):
Ba 0.000 0.250 0.375
Mg 0.000 0.000 0.000
Pd 0.000 0.250 0.875

E_tot, eV/cell: -331.2


No. 6
First-principles (SCAN) data for a crystal of PbAuSe2 relaxed with PBEsol, as listed in the Alexandria database.

abc: 3.711 3.719 13.910
angles: 90.00 90.00 90.00
Space group Imm2 (No. 44)
Symmetry-distinct sites (fractional):
Pb 0.000 0.000 0.000
Au 0.000 0.500 0.213
Se 0.000 0.000 0.406
Se 0.000 0.500 0.687

ΔE_f (raw), eV/atom: -0.07
E_tot, eV/cell: -370.7


No. 7
First-principles (SCAN) data for a crystal of Zn2CoPt relaxed with PBEsol, as listed in the Alexandria database.

abc: 2.934 2.934 5.842
angles: 90.00 90.00 90.00
Space group P4/mmm (No. 123)
Symmetry-distinct sites (fractional):
Zn 0.000 0.000 0.227
Co 0.500 0.500 0.000
Pt 0.500 0.500 0.500

E_tot, eV/cell: -115.5


No. 8
First-principles (SCAN) data for a crystal of BaMg2Fe relaxed with PBEsol, as listed in the Alexandria database.

abc: 6.037 10.359 3.142
angles: 90.00 90.00 90.00
Space group Cmmm (No. 65)
Symmetry-distinct sites (fractional):
Ba 0.000 0.000 0.000
Mg 0.250 0.250 0.500
Fe 0.000 0.500 0.000

E_tot, eV/cell: -130.0


No. 9
First-principles (SCAN) data for a crystal of MgInSb2 relaxed with PBEsol, as listed in the Alexandria database.

abc: 4.153 4.873 9.849
angles: 90.00 90.00 90.00
Space group Cmm2 (No. 35)
Symmetry-distinct sites (fractional):
Mg 0.000 0.000 0.000
In 0.000 0.500 0.232
Sb 0.000 0.000 0.480
Sb 0.000 0.500 0.780

ΔE_f (raw), eV/atom: 0.03
E_tot, eV/cell: -225.5
E above lowest polymorph, eV per atom: 0.149


No. 10
First-principles (SCAN) data for a crystal of BaTcIr relaxed with PBEsol, as listed in the Alexandria database.

abc: 2.916 3.847 11.724
angles: 90.00 90.00 90.00
Space group Imm2 (No. 44)
Symmetry-distinct sites (fractional):
Ba 0.000 0.000 0.000
Tc 0.000 0.000 0.283
Ir 0.000 0.000 0.712

E_tot, eV/cell: -289.3


No. 11
First-principles (SCAN) data for a crystal of LiCuSb2 relaxed with PBEsol, as listed in the Alexandria database.

abc: 3.268 4.208 5.635
angles: 90.00 90.00 90.00
Space group Pmm2 (No. 25)
Symmetry-distinct sites (fractional):
Li 0.000 0.000 0.000
Cu 0.500 0.500 0.663
Sb 0.000 0.000 0.519
Sb 0.500 0.500 0.146

ΔE_f (raw), eV/atom: 0.02
E_tot, eV/cell: -92.0
E above lowest polymorph, eV per atom: 0.054


No. 12
First-principles (SCAN) data for a crystal of Cr3Ga relaxed with PBEsol, as listed in the Alexandria database.

abc: 4.530 4.530 4.530
angles: 90.00 90.00 90.00
Space group Pm-3n (No. 223)
Symmetry-distinct sites (fractional):
Cr 0.000 0.250 0.500
Ga 0.000 0.000 0.000

E_tot, eV/cell: -143.5


No. 13
First-principles (SCAN) data for a crystal of ZrCd2SnIr relaxed with PBEsol, as listed in the Alexandria database.

abc: 5.062 5.062 4.844
angles: 90.00 90.00 90.00
Space group P4/mmm (No. 123)
Symmetry-distinct sites (fractional):
Zr 0.000 0.000 0.000
Cd 0.000 0.500 0.500
Sn 0.500 0.500 0.500
Ir 0.500 0.500 0.000

E_tot, eV/cell: -193.4


No. 14
First-principles (SCAN) data for a crystal of MgSc5 relaxed with PBEsol, as listed in the Alexandria database.

abc: 3.231 3.231 13.443
angles: 90.00 90.00 90.00
Space group P4/mmm (No. 123)
Symmetry-distinct sites (fractional):
Mg 0.000 0.000 0.000
Sc 0.000 0.000 0.332
Sc 0.500 0.500 0.167
Sc 0.500 0.500 0.500

E_tot, eV/cell: -75.9
E above lowest polymorph, eV per atom: 0.040


No. 15
First-principles (SCAN) data for a crystal of CrSBr relaxed with PBEsol, as listed in the Alexandria database.

abc: 3.487 4.660 8.275
angles: 90.00 90.00 90.00
Space group Pmmn (No. 59, origin choice 2)
Symmetry-distinct sites (fractional):
Cr 0.250 0.250 0.123
S 0.250 0.750 0.068
Br 0.250 0.750 0.663

ΔE_f (raw), eV/atom: -1.12
E_tot, eV/cell: -101.7


No. 16
First-principles (SCAN) data for a crystal of TcTeIO2 relaxed with PBEsol, as listed in the Alexandria database.

abc: 3.949 3.949 5.910
angles: 90.00 90.00 90.00
Space group P4/mmm (No. 123)
Symmetry-distinct sites (fractional):
Tc 0.000 0.000 0.000
Te 0.500 0.500 0.500
I 0.000 0.000 0.500
O 0.000 0.500 0.000

ΔE_f (raw), eV/atom: -0.22
E_tot, eV/cell: -122.6
E above lowest polymorph, eV per atom: 0.000


No. 17
First-principles (SCAN) data for a crystal of Hf2Zn2Ga relaxed with PBEsol, as listed in the Alexandria database.

abc: 6.417 6.417 4.110
angles: 90.00 90.00 90.00
Space group P4/mbm (No. 127)
Symmetry-distinct sites (fractional):
Hf 0.168 0.332 0.000
Zn 0.132 0.632 0.500
Ga 0.000 0.000 0.500

E_tot, eV/cell: -341.1


No. 18
First-principles (SCAN) data for a crystal of LiIn2Ag relaxed with PBEsol, as listed in the Alexandria database.

abc: 6.810 6.810 6.810
angles: 90.00 90.00 90.00
Space group F-43m (No. 216)
Symmetry-distinct sites (fractional):
Li 0.000 0.000 0.000
In 0.000 0.000 0.500
In 0.250 0.250 0.250
Ag 0.250 0.250 0.750

E_tot, eV/cell: -404.5


No. 19
First-principles (SCAN) data for a crystal of KBaIr3 relaxed with PBEsol, as listed in the Alexandria database.

abc: 5.186 5.186 5.186
angles: 90.00 90.00 90.00
Space group Pm-3m (No. 221)
Symmetry-distinct sites (fractional):
K 0.000 0.000 0.000
Ba 0.500 0.500 0.500
Ir 0.000 0.500 0.500

E_tot, eV/cell: -248.8


No. 20
First-principles (SCAN) data for a crystal of KLiSb2 relaxed with PBEsol, as listed in the Alexandria database.

abc: 3.417 4.312 7.346
angles: 90.00 90.00 90.00
Space group Pmmm (No. 47)
Symmetry-distinct sites (fractional):
K 0.000 0.000 0.000
Li 0.000 0.000 0.500
Sb 0.500 0.500 0.310

ΔE_f (raw), eV/atom: -0.42
E_tot, eV/cell: -86.9
E above lowest polymorph, eV per atom: 0.017


No. 21
First-principles (SCAN) data for a crystal of CaCd5 relaxed with PBEsol, as listed in the Alexandria database.

abc: 3.457 3.457 11.208
angles: 90.00 90.00 90.00
Space group P4/mmm (No. 123)
Symmetry-distinct sites (fractional):
Ca 0.000 0.000 0.000
Cd 0.000 0.000 0.342
Cd 0.500 0.500 0.189
Cd 0.500 0.500 0.500

E_tot, eV/cell: -162.6


No. 22
First-principles (SCAN) data for a crystal of Sr3Au2 relaxed with PBEsol, as listed in the Alexandria database.

abc: 4.4311 4.4311 32.0054
angles: 90.00 90.00 120.00
Space group R-3m (No. 166, hexagonal axes)
Symmetry-distinct sites (fractional):
Sr 0.0000 0.0000 0.0000
Sr 0.0000 0.0000 0.2234
Au 0.0000 0.0000 0.3911

E_tot, eV/cell: -626.4
E above lowest polymorph, eV per atom: 0.083


No. 23
First-principles (SCAN) data for a crystal of CdSe2IN relaxed with PBEsol, as listed in the Alexandria database.

abc: 5.327 5.327 4.157
angles: 90.00 90.00 90.00
Space group P4/mmm (No. 123)
Symmetry-distinct sites (fractional):
Cd 0.000 0.000 0.000
Se 0.000 0.500 0.000
I 0.500 0.500 0.500
N 0.000 0.000 0.500

ΔE_f (raw), eV/atom: 1.06
E_tot, eV/cell: -111.3


No. 24
First-principles (SCAN) data for a crystal of ZrZnCoW2 relaxed with PBEsol, as listed in the Alexandria database.

abc: 4.588 4.588 4.154
angles: 90.00 90.00 90.00
Space group P4/mmm (No. 123)
Symmetry-distinct sites (fractional):
Zr 0.000 0.000 0.000
Zn 0.500 0.500 0.500
Co 0.500 0.500 0.000
W 0.000 0.500 0.500

E_tot, eV/cell: -194.1